one.
A plane-wave DFT calculation with PBE was carried out for crystalline RbBePt3 at its relaxed geometry.

abc: 5.090 5.090 5.090
angles: 90.00 90.00 90.00
Fractional positions:
1 Rb 0.000 0.000 0.000
2 Be 0.500 0.500 0.500
3 Pt 0.500 0.000 0.000
4 Pt 0.000 0.500 0.000
5 Pt 0.000 0.000 0.500

Space group ... Pm-3m, No. 221

***

two.
A plane-wave DFT calculation with PBE was carried out for crystalline RbBePt3 at its relaxed geometry.

abc: 4.498 4.498 4.498
angles: 90.00 90.00 90.00
Fractional positions:
1 Pt 0.000 0.500 0.000
2 Pt 0.500 0.000 0.000
3 Pt 0.000 0.000 0.500
4 Rb 0.500 0.500 0.500
5 Be 0.000 0.000 0.000

Space group ... Pm-3m, No. 221

***

Name the least stable of them. one.